Sm3CO2: optimized geometry, PBE-GGA.

SG: Pnma
Energy in eV per atom: -7.57
Spin magnetization in μB per formula unit: 0.00
ΔE_f (raw) in eV per atom: -2.023

Cell: 7.1662 5.0623 10.7828 Å, 90.00 90.00 90.00°
Element x y z (fractional)
Sm (0.1213, 0.2500, 0.0839)
Sm (0.1261, 0.2500, 0.4204)
Sm (0.1262, 0.2500, 0.7516)
Sm (0.3738, 0.7500, 0.2516)
Sm (0.3739, 0.7500, 0.9204)
Sm (0.3787, 0.7500, 0.5839)
Sm (0.6213, 0.2500, 0.4161)
Sm (0.6261, 0.2500, 0.0796)
Sm (0.6262, 0.2500, 0.7484)
Sm (0.8738, 0.7500, 0.2484)
Sm (0.8739, 0.7500, 0.5796)
Sm (0.8787, 0.7500, 0.9161)
C (0.1356, 0.7500, 0.0801)
C (0.3644, 0.2500, 0.5801)
C (0.6356, 0.7500, 0.4199)
C (0.8644, 0.2500, 0.9199)
O (0.1216, 0.7500, 0.4152)
O (0.1270, 0.7500, 0.7560)
O (0.3730, 0.2500, 0.2560)
O (0.3784, 0.2500, 0.9152)
O (0.6216, 0.7500, 0.0848)
O (0.6270, 0.7500, 0.7440)
O (0.8730, 0.2500, 0.2440)
O (0.8784, 0.2500, 0.5848)

---

Sm2CO: optimized geometry, PBE-GGA.

SG: R-3m
Energy in eV per atom: -7.02
Spin magnetization in μB per formula unit: 0.00
ΔE_f (raw) in eV per atom: -1.111

Cell: 3.9116 3.9116 20.7164 Å, 90.00 90.00 120.00°
Element x y z (fractional)
Sm (0.0000, 0.0000, 0.1018)
Sm (0.0000, 0.0000, 0.8982)
Sm (0.3333, 0.6667, 0.5648)
Sm (0.3333, 0.6667, 0.7685)
Sm (0.6667, 0.3333, 0.2315)
Sm (0.6667, 0.3333, 0.4352)
C (0.0000, 0.0000, 0.5000)
C (0.3333, 0.6667, 0.1667)
C (0.6667, 0.3333, 0.8333)
O (0.0000, 0.0000, 0.0000)
O (0.3333, 0.6667, 0.6667)
O (0.6667, 0.3333, 0.3333)

---

Sm4CO2: optimized geometry, PBE-GGA.

SG: P4_122
Energy in eV per atom: -7.02
Spin magnetization in μB per formula unit: 0.39
ΔE_f (raw) in eV per atom: -1.594

Cell: 7.3290 7.3290 10.3538 Å, 90.00 90.00 90.00°
Element x y z (fractional)
Sm (0.0036, 0.2427, 0.2474)
Sm (0.0036, 0.7573, 0.2526)
Sm (0.2425, 0.4790, 0.9958)
Sm (0.2425, 0.5210, 0.5042)
Sm (0.2427, 0.0036, 0.5026)
Sm (0.2427, 0.9964, 0.9974)
Sm (0.4790, 0.2425, 0.7542)
Sm (0.4790, 0.7575, 0.7458)
Sm (0.5210, 0.2425, 0.2458)
Sm (0.5210, 0.7575, 0.2542)
Sm (0.7573, 0.0036, 0.4974)
Sm (0.7573, 0.9964, 0.0026)
Sm (0.7575, 0.4790, 0.0042)
Sm (0.7575, 0.5210, 0.4958)
Sm (0.9964, 0.2427, 0.7526)
Sm (0.9964, 0.7573, 0.7474)
C (0.2444, 0.5000, 0.7500)
C (0.5000, 0.2444, 0.0000)
C (0.5000, 0.7556, 0.5000)
C (0.7556, 0.5000, 0.2500)
O (0.0000, 0.2464, 0.0000)
O (0.0000, 0.7536, 0.5000)
O (0.2464, 0.0000, 0.7500)
O (0.2653, 0.2653, 0.3750)
O (0.2653, 0.7347, 0.1250)
O (0.7347, 0.2653, 0.6250)
O (0.7347, 0.7347, 0.8750)
O (0.7536, 0.0000, 0.2500)

---

Sm3CO: optimized geometry, PBE-GGA.

SG: C2/m
Energy in eV per atom: -6.79
Spin magnetization in μB per formula unit: 0.00
ΔE_f (raw) in eV per atom: -1.125

Cell: 6.5181 6.5181 6.5947 Å, 100.02 100.02 122.35°
Element x y z (fractional)
Sm (0.0756, 0.4152, 0.7266)
Sm (0.2363, 0.2363, 0.2546)
Sm (0.4152, 0.0756, 0.7266)
Sm (0.5848, 0.9244, 0.2734)
Sm (0.7637, 0.7637, 0.7454)
Sm (0.9244, 0.5848, 0.2734)
C (0.3397, 0.6603, 0.5000)
C (0.6603, 0.3397, 0.5000)
O (0.1819, 0.1819, 0.8917)
O (0.8181, 0.8181, 0.1083)

---

Question: Look up the energy of the fourth one.
Answer: -6.79 eV per atom

---

Question: What is the energy in the third record?
Answer: -7.02 eV per atom

---

What did the third record say?
Sm4CO2: optimized geometry, PBE-GGA.

SG: P4_122
Energy in eV per atom: -7.02
Spin magnetization in μB per formula unit: 0.39
ΔE_f (raw) in eV per atom: -1.594

Cell: 7.3290 7.3290 10.3538 Å, 90.00 90.00 90.00°
Element x y z (fractional)
Sm (0.0036, 0.2427, 0.2474)
Sm (0.0036, 0.7573, 0.2526)
Sm (0.2425, 0.4790, 0.9958)
Sm (0.2425, 0.5210, 0.5042)
Sm (0.2427, 0.0036, 0.5026)
Sm (0.2427, 0.9964, 0.9974)
Sm (0.4790, 0.2425, 0.7542)
Sm (0.4790, 0.7575, 0.7458)
Sm (0.5210, 0.2425, 0.2458)
Sm (0.5210, 0.7575, 0.2542)
Sm (0.7573, 0.0036, 0.4974)
Sm (0.7573, 0.9964, 0.0026)
Sm (0.7575, 0.4790, 0.0042)
Sm (0.7575, 0.5210, 0.4958)
Sm (0.9964, 0.2427, 0.7526)
Sm (0.9964, 0.7573, 0.7474)
C (0.2444, 0.5000, 0.7500)
C (0.5000, 0.2444, 0.0000)
C (0.5000, 0.7556, 0.5000)
C (0.7556, 0.5000, 0.2500)
O (0.0000, 0.2464, 0.0000)
O (0.0000, 0.7536, 0.5000)
O (0.2464, 0.0000, 0.7500)
O (0.2653, 0.2653, 0.3750)
O (0.2653, 0.7347, 0.1250)
O (0.7347, 0.2653, 0.6250)
O (0.7347, 0.7347, 0.8750)
O (0.7536, 0.0000, 0.2500)

---

Question: Which value of ΔE_f (raw) does entry 1 give?
Answer: -2.023 eV per atom